The following is a GGA+U calculation of a geometry-optimized SiNi2TeF structure, from Alexandria via LeMat-Bulk.

Geometry as CIF:
```
data_SiNi2TeF
_cell_length_a 4.694
_cell_length_b 4.694
_cell_length_c 4.181
_cell_angle_alpha 90.00
_cell_angle_beta 90.00
_cell_angle_gamma 90.00
_symmetry_space_group_name_H-M 'P 1'
_symmetry_Int_Tables_number 1
_symmetry_space_group_name_Hall 'P 1'
loop_
_atom_site_label
_atom_site_fract_x
_atom_site_fract_y
_atom_site_fract_z
Si1 0.000 0.000 0.000
Ni1 0.000 0.500 0.500
Ni2 0.500 0.000 0.500
Te1 0.500 0.500 0.500
F1 0.500 0.500 0.000
```

Its total moment is 0.00 Bohr magnetons per cell. The value obtained for the calculated total energy is -11.91 eV for the cell shown.